# LiAg5Pd3

LiAg5Pd3 after structural relaxation (PBE, Alexandria via LeMat-Bulk).

a b c (Å): 11.9280 7.7153 8.0145
angles (deg): 90.00 110.54 90.00
Space group C2/m (No. 12)
Unique sites:
Li1 0.1002 0.0000 0.2963 [4 per cell]
Ag1 0.0000 0.3305 0.5000 [4 per cell]
Ag2 0.0068 0.5000 0.1848 [4 per cell]
Ag3 0.1540 0.2821 0.0647 [8 per cell]
Ag4 0.2336 0.5000 0.4177 [4 per cell]
Pd1 0.0000 0.0000 0.0000 [2 per cell]
Pd2 0.0000 0.0000 0.5000 [2 per cell]
Pd3 0.1539 0.0000 0.8322 [4 per cell]
Pd4 0.2082 0.5000 0.7706 [4 per cell]

Properties
energy relative to the elements: 187.4 meV per atom
electronic total energy: -3.3402 eV/atom
energy above the lowest structure with this stoichiometry: 0.47 eV per formula unit
D(E_F): 0.322 states/eV/atom